A plane-wave DFT calculation with PBE-GGA was carried out for crystalline Cs2DyHoSe4 at its relaxed geometry.

Output
SG: P-3m1
Total energy, Ha/atom: -0.1775

a b c (Å): 4.247 4.247 16.681
angles (deg): 90.00 90.00 120.00
Element x y z (fractional)
Cs1 0.333 0.667 0.250
Cs2 0.667 0.333 0.750
Dy1 0.000 0.000 0.000
Ho1 0.000 0.000 0.500
Se1 0.333 0.667 0.592
Se2 0.333 0.667 0.907
Se3 0.667 0.333 0.093
Se4 0.667 0.333 0.408

=====

A plane-wave DFT calculation with PBE-GGA was carried out for crystalline Cs2DyHoTe4 at its relaxed geometry.

Output
SG: P-3m1
Total energy, Ha/atom: -0.1586

a b c (Å): 4.541 4.541 17.776
angles (deg): 90.00 90.00 120.00
Element x y z (fractional)
Cs1 0.333 0.667 0.250
Cs2 0.667 0.333 0.750
Dy1 0.000 0.000 0.000
Ho1 0.000 0.000 0.500
Te1 0.333 0.667 0.595
Te2 0.333 0.667 0.905
Te3 0.667 0.333 0.095
Te4 0.667 0.333 0.405

=====

A plane-wave DFT calculation with PBE-GGA was carried out for crystalline CsDyI3 at its relaxed geometry.

Output
SG: Pnma
Total energy, Ha/atom: -0.1201

a b c (Å): 8.614 12.183 8.520
angles (deg): 90.00 90.00 90.00
Element x y z (fractional)
Cs1 0.031 0.250 0.014
Cs2 0.469 0.750 0.514
Cs3 0.531 0.250 0.486
Cs4 0.969 0.750 0.986
Dy1 0.000 0.000 0.500
Dy2 0.000 0.500 0.500
Dy3 0.500 0.000 0.000
Dy4 0.500 0.500 0.000
I1 0.001 0.250 0.525
I2 0.225 0.512 0.775
I3 0.225 0.988 0.775
I4 0.275 0.012 0.275
I5 0.275 0.488 0.275
I6 0.499 0.750 0.025
I7 0.501 0.250 0.975
I8 0.725 0.512 0.725
I9 0.725 0.988 0.725
I10 0.775 0.012 0.225
I11 0.775 0.488 0.225
I12 0.999 0.750 0.475

=====

A plane-wave DFT calculation with PBE-GGA was carried out for crystalline Cs2LiDyI6 at its relaxed geometry.

Output
SG: Fm-3m
Total energy, Ha/atom: -0.1171

a b c (Å): 8.516 8.516 8.516
angles (deg): 60.00 60.00 60.00
Element x y z (fractional)
Cs1 0.250 0.250 0.250
Cs2 0.750 0.750 0.750
Li1 0.000 0.000 0.000
Dy1 0.500 0.500 0.500
I1 0.249 0.249 0.751
I2 0.249 0.751 0.249
I3 0.249 0.751 0.751
I4 0.751 0.249 0.249
I5 0.751 0.249 0.751
I6 0.751 0.751 0.249

=====

A plane-wave DFT calculation with PBE-GGA was carried out for crystalline Cs2DyPdI6 at its relaxed geometry.

Output
SG: I4/mmm
Total energy, Ha/atom: -0.1178

a b c (Å): 8.458 8.458 8.458
angles (deg): 120.19 120.19 89.67
Element x y z (fractional)
Cs1 0.250 0.750 0.500
Cs2 0.750 0.250 0.500
Dy1 0.000 0.000 0.000
Pd1 0.500 0.500 0.000
I1 0.253 0.253 0.000
I2 0.254 0.254 0.509
I3 0.254 0.746 0.000
I4 0.746 0.254 0.000
I5 0.746 0.746 0.491
I6 0.747 0.747 0.000

=====

A plane-wave DFT calculation with PBE-GGA was carried out for crystalline CsDyIn at its relaxed geometry.

Output
SG: F-43m
Total energy, Ha/atom: -0.0815

a b c (Å): 5.745 5.745 5.745
angles (deg): 60.00 60.00 60.00
Element x y z (fractional)
Cs1 0.000 0.000 0.000
Dy1 0.500 0.500 0.500
In1 0.250 0.250 0.250

=====

A plane-wave DFT calculation with PBE-GGA was carried out for crystalline Cs2LaDyO4 at its relaxed geometry.

Output
SG: P-3m1
Total energy, Ha/atom: -0.2374

a b c (Å): 3.641 3.641 13.619
angles (deg): 90.00 90.00 120.00
Element x y z (fractional)
Cs1 0.333 0.667 0.245
Cs2 0.667 0.333 0.755
La1 0.000 0.000 0.500
Dy1 0.000 0.000 0.000
O1 0.333 0.667 0.590
O2 0.333 0.667 0.920
O3 0.667 0.333 0.080
O4 0.667 0.333 0.410

=====

A plane-wave DFT calculation with PBE-GGA was carried out for crystalline Cs2LaDySe4 at its relaxed geometry.

Output
SG: P-3m1
Total energy, Ha/atom: -0.1803

a b c (Å): 4.373 4.373 16.749
angles (deg): 90.00 90.00 120.00
Element x y z (fractional)
Cs1 0.333 0.667 0.246
Cs2 0.667 0.333 0.754
La1 0.000 0.000 0.500
Dy1 0.000 0.000 0.000
Se1 0.333 0.667 0.599
Se2 0.333 0.667 0.910
Se3 0.667 0.333 0.090
Se4 0.667 0.333 0.401